Record 1
A PBEsol-optimized structure of NdSe2, computed with SCAN.

Lattice parameters (Å, degrees): 4.1053 4.1053 8.4556 90.00 90.00 90.00
Space group P4/nmm (No. 129, origin choice 2)
Symmetry-distinct sites (fractional):
Nd 0.2500 0.2500 0.2268 (multiplicity 2)
Se 0.2500 0.2500 0.8676 (multiplicity 2)
Se 0.2500 0.7500 0.5000 (multiplicity 2)

Values from the calculation:
- Crystal system: tetragonal
- Formation energy from raw total energies: -5.5 eV/f.u.
- N(E_F): 0.7 states/eV/cell


Record 2
A PBEsol-optimized structure of BeBiF2, computed with SCAN.

Lattice parameters (Å, degrees): 7.6185 7.6185 7.6185 90.00 90.00 90.00
Space group Fd-3m (No. 227, origin choice 2)
Symmetry-distinct sites (fractional):
Be 0.1250 0.1250 0.1250 (multiplicity 8)
Bi 0.1250 0.1250 0.6250 (multiplicity 8)
F 0.0000 0.0000 0.0000 (multiplicity 16)

Values from the calculation:
- Crystal system: cubic
- Formation energy from raw total energies: -8.4 eV/f.u.
- N(E_F): 5.0 states/eV/cell


Record 3
A PBEsol-optimized structure of Ni2AgMo, computed with SCAN.

Lattice parameters (Å, degrees): 3.6211 3.6211 7.9067 90.00 90.00 90.00
Space group I-4m2 (No. 119)
Symmetry-distinct sites (fractional):
Ni 0.0000 0.0000 0.0000 (multiplicity 2)
Ni 0.0000 0.5000 0.2500 (multiplicity 2)
Ag 0.0000 0.0000 0.5000 (multiplicity 2)
Mo 0.0000 0.5000 0.7500 (multiplicity 2)

Values from the calculation:
- Relative energy among the computed polymorphs: 111 meV/atom
- Crystal system: tetragonal
- Calculated formation energy: 0.413 eV per atom
- N(E_F): 5.3 states/eV/cell


Record 4
A PBEsol-optimized structure of TcHg2P, computed with SCAN.

Lattice parameters (Å, degrees): 3.0911 4.8702 10.1482 90.00 90.00 90.00
Space group Cmm2 (No. 35)
Symmetry-distinct sites (fractional):
Tc 0.0000 0.0000 0.0000 (multiplicity 2)
Hg 0.0000 0.0000 0.5358 (multiplicity 2)
Hg 0.0000 0.5000 0.2425 (multiplicity 2)
P 0.0000 0.5000 0.8387 (multiplicity 2)

Values from the calculation:
- Crystal system: orthorhombic
- Calculated formation energy: 0.249 eV per atom
- N(E_F): 3.1 states/eV/cell


Record 5
A PBEsol-optimized structure of MnS2ClO, computed with SCAN.

Lattice parameters (Å, degrees): 3.8147 3.8147 5.5277 90.00 90.00 90.00
Space group P4/mmm (No. 123)
Symmetry-distinct sites (fractional):
Mn 0.0000 0.0000 0.0000 (multiplicity 1)
S 0.0000 0.5000 0.5000 (multiplicity 2)
Cl 0.5000 0.5000 0.0000 (multiplicity 1)
O 0.5000 0.5000 0.5000 (multiplicity 1)

Values from the calculation:
- Crystal system: tetragonal
- Formation energy from raw total energies: 0.3 eV/f.u.
- N(E_F): 1.0 states/eV/cell


Record 6
A PBEsol-optimized structure of LaReSi, computed with SCAN.

Lattice parameters (Å, degrees): 6.3560 6.3560 6.3560 90.00 90.00 90.00
Space group F-43m (No. 216)
Symmetry-distinct sites (fractional):
La 0.0000 0.0000 0.0000 (multiplicity 4)
Re 0.0000 0.0000 0.5000 (multiplicity 4)
Si 0.2500 0.2500 0.7500 (multiplicity 4)

Values from the calculation:
- Crystal system: cubic
- Formation energy from raw total energies: 1.3 eV/f.u.
- N(E_F): 4.6 states/eV/cell


Record 7
A PBEsol-optimized structure of ZrIn3, computed with SCAN.

Lattice parameters (Å, degrees): 3.2813 3.2813 9.9992 90.00 90.00 120.00
Space group P-6m2 (No. 187)
Symmetry-distinct sites (fractional):
Zr 0.0000 0.0000 0.0000 (multiplicity 1)
In 0.0000 0.0000 0.5000 (multiplicity 1)
In 0.6667 0.3333 0.2410 (multiplicity 2)

Values from the calculation:
- Crystal system: hexagonal
- Calculated formation energy: -0.048 eV per atom
- N(E_F): 3.2 states/eV/cell


Record 8
A PBEsol-optimized structure of Mn3B7IO13, computed with SCAN.

Lattice parameters (Å, degrees): 12.2769 12.2769 12.2769 90.00 90.00 90.00
Space group F-43c (No. 219)
Symmetry-distinct sites (fractional):
Mn 0.0000 0.0000 0.2500 (multiplicity 24)
B 0.0000 0.2500 0.2500 (multiplicity 24)
B 0.1706 0.1706 0.1706 (multiplicity 32)
I 0.0000 0.0000 0.0000 (multiplicity 8)
O 0.0702 0.1552 0.2289 (multiplicity 96)
O 0.2500 0.2500 0.2500 (multiplicity 8)

Values from the calculation:
- Crystal system: cubic
- Formation energy from raw total energies: -58.7 eV/f.u.
- N(E_F): 0.0 states/eV/cell


Record 9
A PBEsol-optimized structure of AlIn3Re, computed with SCAN.

Lattice parameters (Å, degrees): 5.0805 5.0805 5.0805 90.00 90.00 90.00
Space group Pm-3m (No. 221)
Symmetry-distinct sites (fractional):
Al 0.0000 0.0000 0.0000 (multiplicity 1)
In 0.0000 0.0000 0.5000 (multiplicity 3)
Re 0.5000 0.5000 0.5000 (multiplicity 1)

Values from the calculation:
- Crystal system: cubic
- Calculated formation energy: 1.483 eV per atom
- N(E_F): 2.5 states/eV/cell


Record 10
A PBEsol-optimized structure of BaNbO3, computed with SCAN.

Lattice parameters (Å, degrees): 4.1065 4.1065 4.1065 90.00 90.00 90.00
Space group Pm-3m (No. 221)
Symmetry-distinct sites (fractional):
Ba 0.0000 0.0000 0.0000 (multiplicity 1)
Nb 0.5000 0.5000 0.5000 (multiplicity 1)
O 0.0000 0.5000 0.5000 (multiplicity 3)

Values from the calculation:
- Crystal system: cubic
- Formation energy from raw total energies: -15.1 eV/f.u.
- N(E_F): 0.9 states/eV/cell


Record 11
A PBEsol-optimized structure of AgRhBr2, computed with SCAN.

Lattice parameters (Å, degrees): 4.7033 4.7033 3.3182 90.00 90.00 90.00
Space group P4/mmm (No. 123)
Symmetry-distinct sites (fractional):
Ag 0.0000 0.0000 0.0000 (multiplicity 1)
Rh 0.5000 0.5000 0.0000 (multiplicity 1)
Br 0.0000 0.5000 0.5000 (multiplicity 2)

Values from the calculation:
- Relative energy among the computed polymorphs: 510 meV/atom
- Crystal system: tetragonal
- Formation energy from raw total energies: 1.5 eV/f.u.
- N(E_F): 2.5 states/eV/cell


Record 12
A PBEsol-optimized structure of La4C2Cl5, computed with SCAN.

Lattice parameters (Å, degrees): 3.9021 7.8619 17.1918 90.00 90.00 90.00
Space group Immm (No. 71)
Symmetry-distinct sites (fractional):
La 0.0000 0.0000 0.1745 (multiplicity 4)
La 0.0000 0.2862 0.5000 (multiplicity 4)
C 0.0000 0.0000 0.0414 (multiplicity 4)
Cl 0.0000 0.2262 0.3322 (multiplicity 8)
Cl 0.0000 0.5000 0.0000 (multiplicity 2)

Values from the calculation:
- Crystal system: orthorhombic
- Formation energy from raw total energies: -21.3 eV/f.u.
- N(E_F): 4.0 states/eV/cell


Record 13
A PBEsol-optimized structure of ScBe4Tc, computed with SCAN.

Lattice parameters (Å, degrees): 6.3790 6.3790 6.3790 90.00 90.00 90.00
Space group F-43m (No. 216)
Symmetry-distinct sites (fractional):
Sc 0.0000 0.0000 0.0000 (multiplicity 4)
Be 0.1233 0.1233 0.3767 (multiplicity 16)
Tc 0.2500 0.2500 0.7500 (multiplicity 4)

Values from the calculation:
- Crystal system: cubic
- Calculated formation energy: -0.237 eV per atom
- N(E_F): 14.9 states/eV/cell


Record 14
A PBEsol-optimized structure of La2ReW, computed with SCAN.

Lattice parameters (Å, degrees): 3.1931 3.1931 9.1317 90.00 90.00 90.00
Space group P4mm (No. 99)
Symmetry-distinct sites (fractional):
La 0.0000 0.0000 0.0000 (multiplicity 1)
La 0.5000 0.5000 0.3730 (multiplicity 1)
Re 0.0000 0.0000 0.6098 (multiplicity 1)
W 0.5000 0.5000 0.7550 (multiplicity 1)

Values from the calculation:
- Relative energy among the computed polymorphs: 0 meV/atom
- Crystal system: tetragonal
- Calculated formation energy: 0.178 eV per atom
- N(E_F): 3.1 states/eV/cell


Record 15
A PBEsol-optimized structure of Ca2SiNi, computed with SCAN.

Lattice parameters (Å, degrees): 4.1093 4.4867 9.8485 90.00 90.00 90.00
Space group Amm2 (No. 38)
Symmetry-distinct sites (fractional):
Ca 0.0000 0.0000 0.0000 (multiplicity 2)
Ca 0.5000 0.0000 0.2920 (multiplicity 2)
Si 0.5000 0.0000 0.6023 (multiplicity 2)
Ni 0.0000 0.0000 0.6901 (multiplicity 2)

Values from the calculation:
- Crystal system: orthorhombic
- Formation energy from raw total energies: -1.5 eV/f.u.
- N(E_F): 5.6 states/eV/cell


Record 16
A PBEsol-optimized structure of Li2TlGe2, computed with SCAN.

Lattice parameters (Å, degrees): 7.8443 7.8443 2.9939 90.00 90.00 90.00
Space group P4/mbm (No. 127)
Symmetry-distinct sites (fractional):
Li 0.1865 0.3135 0.0000 (multiplicity 4)
Tl 0.0000 0.0000 0.5000 (multiplicity 2)
Ge 0.1121 0.6121 0.5000 (multiplicity 4)

Values from the calculation:
- Relative energy among the computed polymorphs: 0 meV/atom
- Crystal system: tetragonal
- Calculated formation energy: -0.164 eV per atom
- N(E_F): 3.1 states/eV/cell


Record 17
A PBEsol-optimized structure of Rb2BaSiSe, computed with SCAN.

Lattice parameters (Å, degrees): 7.7719 7.7719 5.8051 90.00 90.00 90.00
Space group P4/mmm (No. 123)
Symmetry-distinct sites (fractional):
Rb 0.0000 0.5000 0.0000 (multiplicity 2)
Ba 0.0000 0.0000 0.0000 (multiplicity 1)
Si 0.5000 0.5000 0.5000 (multiplicity 1)
Se 0.0000 0.0000 0.5000 (multiplicity 1)

Values from the calculation:
- Crystal system: tetragonal
- Formation energy from raw total energies: 1.6 eV/f.u.
- N(E_F): 0.6 states/eV/cell


Record 18
A PBEsol-optimized structure of LiOsRh2, computed with SCAN.

Lattice parameters (Å, degrees): 3.8102 3.8102 7.1695 90.00 90.00 90.00
Space group I4/mmm (No. 139)
Symmetry-distinct sites (fractional):
Li 0.0000 0.0000 0.0000 (multiplicity 2)
Os 0.0000 0.0000 0.5000 (multiplicity 2)
Rh 0.0000 0.5000 0.2500 (multiplicity 4)

Values from the calculation:
- Relative energy among the computed polymorphs: 0 meV/atom
- Crystal system: tetragonal
- Calculated formation energy: 0.047 eV per atom
- N(E_F): 5.2 states/eV/cell


Record 19
A PBEsol-optimized structure of ZrNiOF2, computed with SCAN.

Lattice parameters (Å, degrees): 3.8483 3.8483 3.7954 90.00 90.00 90.00
Space group P4/mmm (No. 123)
Symmetry-distinct sites (fractional):
Zr 0.0000 0.0000 0.0000 (multiplicity 1)
Ni 0.5000 0.5000 0.5000 (multiplicity 1)
O 0.5000 0.5000 0.0000 (multiplicity 1)
F 0.0000 0.5000 0.5000 (multiplicity 2)

Values from the calculation:
- Crystal system: tetragonal
- Formation energy from raw total energies: -8.2 eV/f.u.
- N(E_F): 2.7 states/eV/cell


Record 20
A PBEsol-optimized structure of TePb2, computed with SCAN.

Lattice parameters (Å, degrees): 3.9799 16.6599 5.3693 90.00 90.00 90.00
Space group Cmcm (No. 63)
Symmetry-distinct sites (fractional):
Te 0.0000 0.0881 0.2500 (multiplicity 4)
Pb 0.0000 0.2617 0.7500 (multiplicity 4)
Pb 0.0000 0.4199 0.2500 (multiplicity 4)

Values from the calculation:
- Relative energy among the computed polymorphs: 0 meV/atom
- Crystal system: orthorhombic
- Formation energy from raw total energies: -0.2 eV/f.u.
- N(E_F): 5.2 states/eV/cell


Record 21
A PBEsol-optimized structure of BaBiC2Se, computed with SCAN.

Lattice parameters (Å, degrees): 4.6038 4.6038 5.3513 90.00 90.00 90.00
Space group P4/mmm (No. 123)
Symmetry-distinct sites (fractional):
Ba 0.0000 0.0000 0.0000 (multiplicity 1)
Bi 0.5000 0.5000 0.0000 (multiplicity 1)
C 0.0000 0.5000 0.5000 (multiplicity 2)
Se 0.5000 0.5000 0.5000 (multiplicity 1)

Values from the calculation:
- Crystal system: tetragonal
- Formation energy from raw total energies: 9.6 eV/f.u.
- N(E_F): 4.3 states/eV/cell


Record 22
A PBEsol-optimized structure of TaTeSe2, computed with SCAN.

Lattice parameters (Å, degrees): 3.3961 3.3961 26.1213 90.00 90.00 120.00
Space group R3m (No. 160, hexagonal axes)
Symmetry-distinct sites (fractional):
Ta 0.0000 0.0000 0.0000 (multiplicity 3)
Te 0.0000 0.0000 0.7438 (multiplicity 3)
Se 0.0000 0.0000 0.2692 (multiplicity 3)
Se 0.0000 0.0000 0.4992 (multiplicity 3)

Values from the calculation:
- Crystal system: trigonal
- Formation energy from raw total energies: -0.5 eV/f.u.
- N(E_F): 7.1 states/eV/cell


Record 23
A PBEsol-optimized structure of BaTa2Ni, computed with SCAN.

Lattice parameters (Å, degrees): 3.1389 3.1389 8.5214 90.00 90.00 90.00
Space group P4mm (No. 99)
Symmetry-distinct sites (fractional):
Ba 0.0000 0.0000 0.0000 (multiplicity 1)
Ta 0.0000 0.0000 0.4334 (multiplicity 1)
Ta 0.5000 0.5000 0.6486 (multiplicity 1)
Ni 0.5000 0.5000 0.2925 (multiplicity 1)

Values from the calculation:
- Relative energy among the computed polymorphs: 0 meV/atom
- Crystal system: tetragonal
- Calculated formation energy: 0.455 eV per atom
- N(E_F): 3.7 states/eV/cell


Record 24
A PBEsol-optimized structure of Be22Mo, computed with SCAN.

Lattice parameters (Å, degrees): 11.5229 11.5229 11.5229 90.00 90.00 90.00
Space group Fd-3m (No. 227, origin choice 2)
Symmetry-distinct sites (fractional):
Be 0.0000 0.0000 0.0000 (multiplicity 16)
Be 0.0000 0.0000 0.5000 (multiplicity 16)
Be 0.0097 0.3750 0.3750 (multiplicity 48)
Be 0.0598 0.0598 0.8242 (multiplicity 96)
Mo 0.1250 0.1250 0.6250 (multiplicity 8)

Values from the calculation:
- Crystal system: cubic
- Calculated formation energy: -0.037 eV per atom
- N(E_F): 28.6 states/eV/cell